## CdSbPdPt (PBE-GGA)

Data for a geometry-optimized CdSbPdPt structure.

Cell: 6.6642 6.6642 6.6642 Å, 90.00 90.00 90.00°
Last column: nearest neighbours and their distance in Å.
Element x y z (fractional)
Cd (0.0000, 0.0000, 0.0000)  4 Pd 2.89, 4 Pt 2.89
Cd (0.0000, 0.5000, 0.5000)  4 Pd 2.89, 4 Pt 2.89
Cd (0.5000, 0.0000, 0.5000)  4 Pd 2.89, 4 Pt 2.89
Cd (0.5000, 0.5000, 0.0000)  4 Pd 2.89, 4 Pt 2.89
Sb (0.0000, 0.0000, 0.5000)  4 Pd 2.89, 4 Pt 2.89
Sb (0.0000, 0.5000, 0.0000)  4 Pd 2.89, 4 Pt 2.89
Sb (0.5000, 0.0000, 0.0000)  4 Pd 2.89, 4 Pt 2.89
Sb (0.5000, 0.5000, 0.5000)  4 Pd 2.89, 4 Pt 2.89
Pd (0.2500, 0.2500, 0.2500)  4 Cd 2.89, 4 Sb 2.89
Pd (0.2500, 0.7500, 0.7500)  4 Cd 2.89, 4 Sb 2.89
Pd (0.7500, 0.2500, 0.7500)  4 Cd 2.89, 4 Sb 2.89
Pd (0.7500, 0.7500, 0.2500)  4 Cd 2.89, 4 Sb 2.89
Pt (0.2500, 0.2500, 0.7500)  4 Cd 2.89, 4 Sb 2.89
Pt (0.2500, 0.7500, 0.2500)  4 Cd 2.89, 4 Sb 2.89
Pt (0.7500, 0.2500, 0.2500)  4 Cd 2.89, 4 Sb 2.89
Pt (0.7500, 0.7500, 0.7500)  4 Sb 2.89, 4 Cd 2.89

Summary:
Uncorrected energy: -4.3725 eV per atom

=====

## Sc4CdPdPt2 (PBE-GGA)

Data for a geometry-optimized Sc4CdPdPt2 structure.

Cell: 8.2257 8.2257 8.2257 Å, 33.47 33.47 33.47°
Last column: nearest neighbours and their distance in Å.
Element x y z (fractional)
Sc (0.1200, 0.1200, 0.1200)  1 Pd 2.79, 4 Pt 2.85-2.96, 3 Cd 2.94
Sc (0.3708, 0.3708, 0.3708)  3 Pd 2.87, 4 Pt 2.87-2.96, 1 Cd 3.01
Sc (0.6292, 0.6292, 0.6292)  3 Pd 2.87, 4 Pt 2.87-2.96, 1 Cd 3.01
Sc (0.8800, 0.8800, 0.8800)  1 Pd 2.79, 4 Pt 2.85-2.96, 3 Cd 2.94
Cd (0.5000, 0.5000, 0.5000)  8 Sc 2.94-3.01
Pd (0.0000, 0.0000, 0.0000)  8 Sc 2.79-2.87
Pt (0.2474, 0.2474, 0.2474)  8 Sc 2.85-2.96
Pt (0.7526, 0.7526, 0.7526)  8 Sc 2.85-2.96

Summary:
Formation energy from the elements: -913 meV/atom
Uncorrected energy: -6.3522 eV per atom

=====

## Sc4CdPd2Pt (PBE-GGA)

Data for a geometry-optimized Sc4CdPd2Pt structure.

Cell: 8.2716 8.2716 8.2716 Å, 33.33 33.33 33.33°
Last column: nearest neighbours and their distance in Å.
Element x y z (fractional)
Sc (0.1182, 0.1182, 0.1182)  1 Pt 2.77, 4 Pd 2.82-2.94, 3 Cd 2.96
Sc (0.3696, 0.3696, 0.3696)  3 Pt 2.87, 4 Pd 2.95-3.01, 1 Cd 3.05
Sc (0.6304, 0.6304, 0.6304)  3 Pt 2.87, 4 Pd 2.95-3.01, 1 Cd 3.05
Sc (0.8818, 0.8818, 0.8818)  1 Pt 2.77, 4 Pd 2.82-2.94, 3 Cd 2.96
Cd (0.5000, 0.5000, 0.5000)  8 Sc 2.96-3.05, 6 Pd 3.28
Pd (0.2436, 0.2436, 0.2436)  8 Sc 2.82-3.01
Pd (0.7564, 0.7564, 0.7564)  8 Sc 2.82-3.01
Pt (0.0000, 0.0000, 0.0000)  8 Sc 2.77-2.87

Summary:
Formation energy from the elements: -828 meV/atom
Uncorrected energy: -6.1617 eV per atom